VASP calculation (PBE) on a relaxed structure of Sm3Zn4In4.

abc: 4.6494 7.1085 8.7681
angles: 113.91 105.37 90.00
Fractional positions:
Sm 0.8711 0.8711 0.7422
Sm 0.0000 0.5000 0.0000
Sm 0.1289 0.1289 0.2578
Zn 0.6650 0.4793 0.3300
Zn 0.6650 0.8507 0.3300
Zn 0.3350 0.5207 0.6700
Zn 0.3350 0.1493 0.6700
In 0.7821 0.2821 0.5643
In 0.5000 0.8020 0.0000
In 0.2179 0.7179 0.4357
In 0.5000 0.1980 0.0000

E   -3.14 eV per atom
Space-group type   Immm, No. 71
Calculated density   7.676 g/cm3
Total magnetic moment   0.00 Bohr magnetons per cell



VASP calculation (PBE) on a relaxed structure of Sm2ZnIn2.

abc: 3.6308 4.6864 7.8476
angles: 107.37 90.00 90.00
Fractional positions:
In 0.5000 0.5118 0.0236
In 0.5000 0.3040 0.6079
Sm 0.0000 0.6915 0.3829
Sm 0.0000 0.9257 0.8514
Zn 0.5000 0.1092 0.2184

Space-group type   Amm2, No. 38
Excess energy over the best structure of this formula in the dataset   5 meV/atom
Calculated density   7.763 g/cm3
Total magnetic moment   0.00 Bohr magnetons per cell



VASP calculation (PBE) on a relaxed structure of Sm5ZnIn4.

abc: 3.6874 3.6874 20.1284
angles: 90.00 90.00 90.00
Fractional positions:
Sm 0.5000 0.5000 0.2932
Sm 0.5000 0.5000 0.5000
Sm 0.5000 0.5000 0.7068
Sm 0.5000 0.5000 0.9126
Sm 0.5000 0.5000 0.0874
Zn 0.0000 0.0000 0.0000
In 0.0000 0.0000 0.1894
In 0.0000 0.0000 0.3962
In 0.0000 0.0000 0.8106
In 0.0000 0.0000 0.6038

E   -4.04 eV per atom
Space-group type   P4/mmm, No. 123
Calculated density   7.745 g/cm3
Total magnetic moment   0.00 Bohr magnetons per cell



VASP calculation (PBE) on a relaxed structure of Sm4ZnIn.

abc: 5.1159 5.1161 7.4294
angles: 89.99 89.99 90.00
Fractional positions:
In 0.5013 0.4973 0.9981
Sm 0.5013 0.9975 0.7331
Sm 0.5013 0.9972 0.2631
Sm 0.0012 0.4972 0.2632
Sm 0.0013 0.4973 0.7331
Zn 0.0013 0.9973 0.4983

Space-group type   P4/mmm, No. 123
Excess energy over the best structure of this formula in the dataset   211 meV/atom
Calculated density   6.675 g/cm3
Total magnetic moment   0.00 Bohr magnetons per cell



VASP calculation (PBE) on a relaxed structure of Sm2ZnIn2.

abc: 4.7212 6.0970 10.1944
angles: 88.32 76.61 67.22
Fractional positions:
Sm 0.3149 0.7081 0.6621
Sm 0.0841 0.7371 0.0947
Sm 0.9159 0.2629 0.9053
Sm 0.6851 0.2919 0.3379
In 0.9238 0.7225 0.4299
In 0.6468 0.8302 0.8762
In 0.3532 0.1698 0.1238
In 0.0762 0.2775 0.5701
Zn 0.6148 0.1097 0.6607
Zn 0.3852 0.8903 0.3393

Space-group type   C2/m, No. 12
Excess energy over the best structure of this formula in the dataset   0 meV/atom
Calculated density   7.534 g/cm3
Total magnetic moment   0.00 Bohr magnetons per cell



VASP calculation (PBE) on a relaxed structure of SmZnIn6.

abc: 4.2988 6.8405 6.8405
angles: 89.95 90.00 90.00
Fractional positions:
In 0.0000 0.2668 0.7332
In 0.0000 0.7333 0.7333
In 0.0000 0.2667 0.2667
In 0.5000 0.0000 0.5000
In 0.0000 0.7332 0.2668
In 0.5000 0.5000 0.0000
Zn 0.5000 0.5000 0.5000
Sm 0.5000 0.0000 0.0000

E   -2.94 eV per atom
Space-group type   Cmmm, No. 65
Calculated density   7.468 g/cm3
Total magnetic moment   0.00 Bohr magnetons per cell



VASP calculation (PBE) on a relaxed structure of Sm12Zn2In5.

abc: 7.2049 9.4373 9.1877
angles: 83.46 90.00 112.44
Fractional positions:
Sm 0.0864 0.6819 0.9365
Sm 0.5955 0.6819 0.9365
Sm 0.4045 0.3181 0.0635
Sm 0.5980 0.6933 0.5121
Sm 0.9047 0.3067 0.4879
Sm 0.0953 0.6933 0.5121
Sm 0.5034 0.0067 0.3056
Sm 0.9136 0.3181 0.0635
Sm 0.9661 0.9323 0.1830
Sm 0.4020 0.3067 0.4879
Sm 0.4966 0.9933 0.6944
Sm 0.0339 0.0677 0.8170
Zn 0.6670 0.0000 0.0000
Zn 0.3330 0.0000 0.0000
In 0.2972 0.5944 0.2407
In 0.0000 0.0000 0.5000
In 0.2261 0.4522 0.7540
In 0.7739 0.5478 0.2460
In 0.7028 0.4056 0.7593

E   -4.04 eV per atom
Space-group type   C2/m, No. 12
Calculated density   7.272 g/cm3
Total magnetic moment   0.00 Bohr magnetons per cell



VASP calculation (PBE) on a relaxed structure of SmZnIn.

abc: 3.7066 4.7281 4.7281
angles: 120.00 90.00 90.00
Fractional positions:
In 0.1664 0.0000 0.0000
Sm 0.6665 0.6667 0.3333
Zn 0.1671 0.3333 0.6667

E   -3.35 eV per atom
Space-group type   P-6m2, No. 187
Calculated density   7.650 g/cm3
Total magnetic moment   0.00 Bohr magnetons per cell



Question: What is the formula in the fourth record?
Answer: Sm4ZnIn